(1)
# LaPm3Dy12

LaPm3Dy12 after structural relaxation (PBE, Alexandria via LeMat-Bulk).

a = 5.0574 Å, b = 5.0574 Å, c = 20.2375 Å
α = 90.00°, β = 90.00°, γ = 90.00°
Fractional coordinates of all 16 atoms:
Pm 0.0000 0.0000 0.2504
Pm 0.0000 0.0000 0.7496
Pm 0.0000 0.0000 0.5000
La 0.0000 0.0000 0.0000
Dy 0.5000 0.0000 0.1268
Dy 0.5000 0.5000 0.0000
Dy 0.5000 0.0000 0.3755
Dy 0.5000 0.5000 0.2513
Dy 0.0000 0.5000 0.1268
Dy 0.5000 0.0000 0.6245
Dy 0.0000 0.5000 0.8732
Dy 0.5000 0.5000 0.7487
Dy 0.5000 0.5000 0.5000
Dy 0.5000 0.0000 0.8732
Dy 0.0000 0.5000 0.3755
Dy 0.0000 0.5000 0.6245

Values from the calculation:
* total moment: 0.00 μB/f.u.
* E: -0.1701 Ha/atom
* ρ: 8.1 Mg/m³

(2)
# TlCd2SiTe4

TlCd2SiTe4 after structural relaxation (PBE, Alexandria via LeMat-Bulk).

a = 7.8307 Å, b = 7.8307 Å, c = 7.0463 Å
α = 122.43°, β = 122.43°, γ = 92.01°
Fractional coordinates of all 8 atoms:
Te 0.1421 0.1421 0.6807
Te 0.5385 0.5385 0.6807
Te 0.8386 0.4556 0.2941
Te 0.4556 0.8386 0.2941
Cd 0.7662 0.2662 0.5324
Cd 0.2662 0.7662 0.5324
Tl 0.9980 0.9980 0.9961
Si 0.4951 0.4951 0.9901

Values from the calculation:
* total moment: 0.00 μB/f.u.
* E: -0.1078 Ha/atom
* formation energy from raw total energies: -0.16 eV/atom
* ρ: 5.9 Mg/m³